(1)
VASP calculation (PBE) on crystalline Gd2Ho4C at its relaxed geometry.

Calculated values
Energy of formation ... 0.12 eV/atom

The structure in extended XYZ format:
```
7
Lattice="4.8494 0.0000 0.0000 0.0000 4.8494 0.0000 2.4247 2.4247 8.8592" Properties=species:S:1:pos:R:3 pbc="T T T"
Ho 2.4247 0.0000 0.0000
Ho 0.0000 2.4247 0.0000
Ho 4.8494 4.8494 2.3601
Ho 2.4247 2.4247 6.4991
Gd 4.8494 4.8494 5.7858
Gd 2.4247 2.4247 3.0734
C 0.0000 0.0000 0.0000
```

=====

(2)
VASP calculation (PBE) on crystalline GdHoC at its relaxed geometry.

Calculated values
Energy of formation ... -0.25 eV/atom

The structure in extended XYZ format:
```
3
Lattice="3.5883 0.0000 0.0000 -1.7941 3.1075 0.0000 0.0000 0.0000 6.2741" Properties=species:S:1:pos:R:3 pbc="T T T"
Gd 0.0000 0.0000 0.7236
C 1.7941 1.0358 2.1217
Ho 0.0000 2.0717 3.4288
```

=====

(3)
VASP calculation (PBE) on crystalline Gd3HoC at its relaxed geometry.

Calculated values
Energy of formation ... 0.01 eV/atom

The structure in extended XYZ format:
```
5
Lattice="-3.6711 3.0179 1.8725 0.5304 -2.1970 4.5807 3.5118 3.4867 1.2656" Properties=species:S:1:pos:R:3 pbc="T T T"
C 0.0000 0.0000 0.0000
Gd 0.2652 -1.0985 2.2904
Gd -1.8356 1.5089 0.9363
Gd 1.7559 1.7433 0.6328
Ho 0.1855 2.1538 3.8594
```

=====

(4)
VASP calculation (PBE) on crystalline Gd3CI3 at its relaxed geometry.

Calculated values
E_form (uncorrected) ... -1.020 eV per atom

The structure in extended XYZ format:
```
14
Lattice="-0.8328 1.2757 -3.6415 -6.6416 -5.7528 -0.4964 -7.1420 8.5502 4.6288" Properties=species:S:1:pos:R:3 pbc="T T T"
Gd -4.0302 3.9104 -0.9175
Gd -7.1761 7.2660 0.9775
Gd -6.5443 3.8894 1.7895
Gd -10.5862 0.1628 1.4083
Gd -7.4403 -3.1928 -0.4867
Gd -8.0720 0.1838 -1.2987
C -8.8268 -1.4583 0.4381
C -5.7896 5.5315 0.0528
I -9.2325 2.8183 -0.1104
I -5.6972 -1.5198 -2.4386
I -5.3839 1.2549 0.6012
I -12.1249 2.8542 2.7031
I -2.4914 1.2190 -2.2123
I -8.9191 5.5930 2.9294
```

=====

(5)
VASP calculation (PBE) on crystalline GdIrC at its relaxed geometry.

Calculated values
Energy of formation ... -0.18 eV/atom

The structure in extended XYZ format:
```
3
Lattice="4.9243 0.0000 0.0000 0.0000 3.3774 0.0000 0.0000 -1.6887 2.9249" Properties=species:S:1:pos:R:3 pbc="T T T"
Ir 1.0040 0.0000 1.9499
C 0.3091 0.0000 0.0000
Gd 3.6113 1.6887 0.9750
```

=====

(6)
VASP calculation (PBE) on crystalline KGdC2O6 at its relaxed geometry.

Calculated values
E_form (uncorrected) ... -2.136 eV per atom

The structure in extended XYZ format:
```
20
Lattice="-3.0912 3.5395 4.4848 -5.2445 -2.2100 -3.1318 -2.6245 -4.9048 4.4444" Properties=species:S:1:pos:R:3 pbc="T T T"
O -2.7145 0.8640 3.4943
O -5.1849 -4.6807 1.6200
O -6.9832 -2.9413 5.6596
O -3.9769 -0.6339 0.1378
O -4.1649 -3.8620 4.3969
O -8.0033 -1.8873 3.9915
O -2.9569 -1.6880 1.8060
O -5.7753 1.1054 4.1774
O -6.7953 0.2868 1.4006
O -4.7870 -1.7456 4.1361
O -8.2457 -4.4392 2.3032
O -6.1731 -1.8296 1.6613
Gd -4.6211 -0.0198 2.5052
Gd -6.3391 -3.5554 3.2923
C -7.7877 -1.9713 5.2652
C -3.1724 -1.6039 0.5322
C -7.0155 -0.9606 1.1331
C -3.9447 -2.6146 4.6643
K -5.6386 -2.7364 -1.0936
K -5.3216 -0.8389 6.8911
```

=====

(7)
VASP calculation (PBE) on crystalline LaGdC2 at its relaxed geometry.

Calculated values
Energy of formation ... 0.29 eV/atom

The structure in extended XYZ format:
```
4
Lattice="3.7470 0.0000 0.0000 1.8735 3.2450 0.0000 1.8735 1.0817 6.1068" Properties=species:S:1:pos:R:3 pbc="T T T"
La 3.7470 2.1633 3.0534
C 5.6205 3.2450 4.6749
C 1.8735 1.0817 1.4319
Gd 0.0000 0.0000 0.0000
```

=====

(8)
VASP calculation (PBE) on crystalline LaGdC at its relaxed geometry.

Calculated values
Energy of formation ... -0.16 eV/atom

The structure in extended XYZ format:
```
3
Lattice="-4.5723 0.6680 -4.8401 -0.8876 -3.5299 0.3514 -1.7369 2.5289 1.9898" Properties=species:S:1:pos:R:3 pbc="T T T"
La -3.6832 -1.1433 -1.7621
C -2.9293 0.7248 -0.1183
Gd -0.5844 0.0854 -0.6186
```

=====

(9)
VASP calculation (PBE) on crystalline LaGdC4 at its relaxed geometry.

Calculated values
Energy of formation ... -0.14 eV/atom

The structure in extended XYZ format:
```
6
Lattice="4.2169 0.0037 0.0000 -0.6971 4.1589 0.0000 0.0000 0.0000 5.4547" Properties=species:S:1:pos:R:3 pbc="T T T"
La 1.7599 2.0813 2.7273
C 2.2578 1.6603 0.0000
C -0.2033 3.7414 2.7273
C 1.2621 2.5023 0.0000
C 3.7232 0.4212 2.7273
Gd 0.0000 0.0000 0.0000
```

=====

(10)
VASP calculation (PBE) on crystalline La2GdC at its relaxed geometry.

Calculated values
Energy of formation ... 0.05 eV/atom

The structure in extended XYZ format:
```
4
Lattice="3.6688 0.0000 0.0000 1.8344 3.1773 0.0000 1.8344 1.0591 10.1294" Properties=species:S:1:pos:R:3 pbc="T T T"
C 3.6688 2.1182 5.0647
La 1.8344 1.0591 6.5296
La 5.5032 3.1773 3.5998
Gd 0.0000 0.0000 0.0000
```

=====

(11)
VASP calculation (PBE) on crystalline LaGd2C at its relaxed geometry.

Calculated values
Energy of formation ... -0.10 eV/atom

The structure in extended XYZ format:
```
4
Lattice="-0.8987 -2.9650 -1.7822 2.5291 -2.3177 -1.0037 -0.5006 -6.6526 7.7360" Properties=species:S:1:pos:R:3 pbc="T T T"
Gd -0.1218 -4.8779 4.5924
Gd 1.2516 -7.0574 0.3577
C 0.5649 -5.9676 2.4751
La 0.0000 0.0000 0.0000
```

=====

(12)
VASP calculation (PBE) on crystalline LiGd2C at its relaxed geometry.

Calculated values
Energy of formation ... -0.08 eV/atom

The structure in extended XYZ format:
```
4
Lattice="-2.5601 -0.4847 2.4355 -2.0421 -2.9218 -0.1165 4.5901 -5.6366 6.3147" Properties=species:S:1:pos:R:3 pbc="T T T"
C -0.0060 -4.5216 4.3169
Li 0.0000 0.0000 0.0000
Gd -2.4275 -5.0048 4.2868
Gd 2.4154 -4.0383 4.3469
```

=====

(13)
VASP calculation (PBE) on crystalline Gd3LuC at its relaxed geometry.

Calculated values
Energy of formation ... 0.00 eV/atom

The structure in extended XYZ format:
```
5
Lattice="5.0970 0.0000 0.0000 0.0000 5.0970 0.0000 0.0000 0.0000 5.0970" Properties=species:S:1:pos:R:3 pbc="T T T"
C 0.0000 0.0000 0.0000
Gd 2.5485 0.0000 0.0000
Gd 0.0000 0.0000 2.5485
Gd 0.0000 2.5485 0.0000
Lu 2.5485 2.5485 2.5485
```

=====

(14)
VASP calculation (PBE) on crystalline GdLuC at its relaxed geometry.

Calculated values
Energy of formation ... -0.27 eV/atom

The structure in extended XYZ format:
```
3
Lattice="-2.4426 -0.0464 -2.5841 1.4953 -3.0374 1.0880 -4.4574 -0.6808 4.2255" Properties=species:S:1:pos:R:3 pbc="T T T"
C -2.6533 -1.2761 0.0841
Gd -0.5027 -0.0768 0.4766
Lu -2.2486 -2.4118 2.1688
```

=====

(15)
VASP calculation (PBE) on crystalline GdLu2C at its relaxed geometry.

Calculated values
Energy of formation ... -0.15 eV/atom

The structure in extended XYZ format:
```
4
Lattice="3.4635 0.0000 0.0000 1.7317 2.9995 0.0000 1.7317 0.9998 9.4593" Properties=species:S:1:pos:R:3 pbc="T T T"
Gd 0.0000 0.0000 0.0000
C 3.4635 1.9996 4.7297
Lu 1.7317 0.9998 6.0395
Lu 5.1952 2.9995 3.4199
```

=====

(16)
VASP calculation (PBE) on crystalline Gd6Mg23C at its relaxed geometry.

Calculated values
Energy of formation ... -0.10 eV/atom

The structure in extended XYZ format:
```
30
Lattice="-9.0107 -2.3176 -3.9175 -6.2828 -6.0833 5.0429 -8.4150 3.7422 4.1345" Properties=species:S:1:pos:R:3 pbc="T T T"
Gd -13.6856 -2.3369 6.8467
Gd -15.4424 0.0883 1.0760
Gd -9.6393 1.5809 3.5989
Gd -8.2661 -4.7470 4.1840
Gd -14.0692 -6.2396 1.6610
Gd -10.0229 -2.3218 -1.5868
Mg -9.0088 -1.7702 1.9987
Mg -7.6468 -4.2004 0.5627
Mg -10.3739 -1.7759 5.1419
Mg -12.0250 -4.6906 4.4196
Mg -17.6674 -1.9174 2.7500
Mg -4.0273 -0.7914 0.8935
Mg -14.6998 -2.8885 3.2612
Mg -11.6835 0.0320 0.8403
Mg -13.0487 0.0263 3.9836
Mg -16.9840 -5.0668 3.0412
Mg -6.7246 0.4081 2.2187
Mg -4.5054 -1.1588 -1.9588
Mg -7.3489 -1.1706 4.5887
Mg -6.0411 -2.7413 2.5099
Mg -10.6599 -4.6850 1.2764
Mg -16.7930 -3.1245 5.6221
Mg -13.3346 -2.8828 0.1180
Mg -11.8543 -2.3293 2.6300
Mg -19.6813 -3.8673 4.3664
Mg -6.9155 -1.5342 -0.3622
Mg -3.1414 -3.0416 2.5214
Mg -8.7129 0.7123 0.1085
Mg -4.2075 1.8711 2.0673
C 0.0000 0.0000 0.0000
```

=====

(17)
VASP calculation (PBE) on crystalline Gd3MgC at its relaxed geometry.

Calculated values
Energy of formation ... -0.18 eV/atom

The structure in extended XYZ format:
```
5
Lattice="-4.0798 0.4416 2.9176 -1.3511 -4.7054 -1.1772 2.6233 -1.7367 3.9311" Properties=species:S:1:pos:R:3 pbc="T T T"
Gd -0.6756 -2.3527 -0.5886
Gd -2.0399 0.2208 1.4588
Gd 1.3117 -0.8684 1.9656
Mg -1.4038 -3.0003 2.8358
C 0.0000 0.0000 0.0000
```

=====

(18)
VASP calculation (PBE) on crystalline GdMn3C at its relaxed geometry.

Calculated values
Energy of formation ... 0.07 eV/atom

The structure in extended XYZ format:
```
5
Lattice="-0.3862 3.9257 0.9187 -3.7094 0.0157 -1.6260 -1.5796 -0.9964 3.5939" Properties=species:S:1:pos:R:3 pbc="T T T"
Mn -1.8547 0.0078 -0.8130
Mn -0.1931 1.9628 0.4594
Mn -0.7898 -0.4982 1.7969
Gd -2.8376 1.4724 1.4433
C 0.0000 0.0000 0.0000
```

=====

(19)
VASP calculation (PBE) on crystalline GdMnC2 at its relaxed geometry.

Calculated values
Energy of formation ... 0.23 eV/atom

The structure in extended XYZ format:
```
4
Lattice="-0.5606 -1.6493 2.7488 0.1783 -3.2494 0.0131 4.9529 -1.3493 2.1269" Properties=species:S:1:pos:R:3 pbc="T T T"
Gd 2.2853 -3.1239 2.4444
C 0.8474 -1.5785 1.1521
C 3.7231 -4.6694 3.7368
Mn 0.0000 0.0000 0.0000
```

=====

(20)
VASP calculation (PBE) on crystalline Gd2MoC at its relaxed geometry.

Calculated values
Energy of formation ... 0.64 eV/atom

The structure in extended XYZ format:
```
4
Lattice="3.3600 0.0000 0.0000 1.6800 2.9098 0.0000 1.6800 0.9699 8.6324" Properties=species:S:1:pos:R:3 pbc="T T T"
Mo 0.0000 0.0000 0.0000
C 3.3600 1.9399 4.3162
Gd 5.0399 2.9098 2.8895
Gd 1.6800 0.9699 5.7429
```

=====

(21)
VASP calculation (PBE) on crystalline Gd2CN at its relaxed geometry.

Calculated values
E_form (uncorrected) ... -0.713 eV per atom

The structure in extended XYZ format:
```
4
Lattice="3.5618 0.0000 0.0000 1.7809 3.0846 0.0000 1.7809 1.0282 5.9071" Properties=species:S:1:pos:R:3 pbc="T T T"
Gd 1.7809 1.0282 1.5269
Gd 5.3427 3.0846 4.3803
N 3.5618 2.0564 2.9536
C 0.0000 0.0000 0.0000
```

=====

(22)
VASP calculation (PBE) on crystalline NaGd2C at its relaxed geometry.

Calculated values
Energy of formation ... -0.15 eV/atom

The structure in extended XYZ format:
```
4
Lattice="-1.4040 -0.7482 3.2681 0.9109 -3.0763 1.7084 7.0845 3.1656 5.7896" Properties=species:S:1:pos:R:3 pbc="T T T"
Gd 5.7196 -0.0188 8.5168
Gd 0.8718 -0.6401 2.2493
C 0.0000 0.0000 0.0000
Na 3.2957 -0.3294 5.3830
```

=====

(23)
VASP calculation (PBE) on crystalline Na3GdC3O9 at its relaxed geometry.

Calculated values
E_form (uncorrected) ... -1.982 eV per atom

The structure in extended XYZ format:
```
32
Lattice="6.6121 0.0189 0.0000 -2.6851 6.0424 0.0000 0.0000 0.0000 10.0292" Properties=species:S:1:pos:R:3 pbc="T T T"
Na 3.7088 5.7244 0.0000
Na 2.2687 3.9033 7.5219
Na -0.7505 4.8897 7.5219
Na 2.6352 3.6658 2.5073
Na 3.7088 5.7244 5.0146
Na 4.7694 1.3135 2.5073
O 5.1808 1.7756 5.1428
O -0.4968 5.4541 4.8864
O -0.4968 5.4541 0.1282
O 4.1008 3.4642 8.9330
O 0.1297 0.4195 7.5219
O 0.5236 2.5492 2.5073
O 4.4856 3.5128 1.1319
O 2.3580 1.2256 2.5073
O 2.1126 1.5198 7.5219
O 4.4856 3.5128 3.8827
O 1.4857 5.1585 3.9184
O 1.4857 5.1585 1.0961
O 4.1008 3.4642 6.1107
O 5.1808 1.7756 9.9010
O 1.3728 5.5296 8.8973
O 0.3298 0.2898 2.5073
O 1.3728 5.5296 6.1465
O 0.1548 2.6530 7.5219
C 0.8244 1.5453 7.5219
C 4.6010 2.9227 10.0123
C 4.6010 2.9227 5.0315
C 0.7871 5.3937 4.9977
C 1.0735 1.3839 2.5073
C 0.7871 5.3937 0.0169
Gd -0.5081 4.7468 2.5073
Gd 4.5399 1.4763 7.5219
```

=====

(24)
VASP calculation (PBE) on crystalline GdNbC at its relaxed geometry.

Calculated values
Energy of formation ... 0.28 eV/atom

The structure in extended XYZ format:
```
3
Lattice="4.5464 0.0000 0.0000 0.0000 3.7375 0.0000 0.0000 -1.8687 3.2367" Properties=species:S:1:pos:R:3 pbc="T T T"
Nb 0.7574 0.0000 0.0000
C 0.7591 0.0000 2.1578
Gd 3.0299 1.8687 1.0789
```

=====

(25)
VASP calculation (PBE) on crystalline Gd2NbC at its relaxed geometry.

Calculated values
Energy of formation ... 0.43 eV/atom

The structure in extended XYZ format:
```
4
Lattice="-2.3420 -2.4309 -0.2759 0.7389 -2.8889 -1.6056 2.2811 -5.3668 7.1342" Properties=species:S:1:pos:R:3 pbc="T T T"
Nb 0.0000 0.0000 0.0000
C 0.3390 -5.3433 2.6263
Gd 1.3171 -4.1364 4.4766
Gd -0.6390 -6.5503 0.7760
```

=====

(26)
VASP calculation (PBE) on crystalline NdGdC at its relaxed geometry.

Calculated values
Energy of formation ... -0.16 eV/atom

The structure in extended XYZ format:
```
3
Lattice="3.6445 0.0000 0.0000 -1.8223 3.1563 0.0000 0.0000 0.0000 6.5258" Properties=species:S:1:pos:R:3 pbc="T T T"
C 1.8223 1.0521 2.2244
Gd 0.0000 2.1042 3.5437
Nd 0.0000 0.0000 0.7577
```